Material: InSiAu
Method: DFT, PBE
State: relaxed

Results
volume	128.9	Å³ per cell
raw formation energy	0.02	eV/f.u.

Unit cell a=3.712 b=6.076 c=6.781 alpha=116.40 beta=90.74 gamma=107.26
Space group P1 (No. 1)
Asymmetric unit:
In: 0.000 0.000 0.000 [1 per cell]
In: 0.189 0.357 0.716 [1 per cell]
Si: 0.305 0.609 0.181 [1 per cell]
Si: 0.767 0.523 0.354 [1 per cell]
Au: 0.417 0.838 0.642 [1 per cell]
Au: 0.555 0.098 0.353 [1 per cell]